# Tm8CoIr2

Tm8CoIr2 after structural relaxation (PBE, the Alexandria database).

a b c (Å): 4.811 6.716 8.826
angles (deg): 106.95 105.81 90.00
Fractional positions:
Tm 0.665 0.963 0.331
Tm 0.970 0.206 0.940
Tm 0.405 0.551 0.809
Tm 0.030 0.794 0.060
Tm 0.595 0.449 0.191
Tm 0.335 0.037 0.669
Ir 0.185 0.702 0.370
Co 0.500 0.000 0.000
Tm 0.796 0.691 0.591
Tm 0.204 0.309 0.409
Ir 0.815 0.298 0.630

Properties
V	261.5	Å³/cell
space-group type	C2/m, No. 12
relative energy among the computed polymorphs	0	meV per atom
crystal system	monoclinic
formation enthalpy at 0 K	-446.9	meV/atom